[1]
Tb2ErHg4: relaxed, PBE.

Summary:
Symmetry = R-3m
Energy of formation from the pure elements = -0.343 eV per atom
Calculated total energy = -17.43 eV per formula unit

a = 9.191 Å, b = 9.191 Å, c = 9.191 Å
α = 32.10°, β = 32.10°, γ = 32.10°
Fractional positions:
1 Tb 0.245 0.245 0.245
2 Tb 0.755 0.755 0.755
3 Er 0.000 0.000 0.000
4 Hg 0.127 0.127 0.127
5 Hg 0.373 0.373 0.373
6 Hg 0.627 0.627 0.627
7 Hg 0.873 0.873 0.873



[2]
Hg2TeIBr: relaxed, PBE.

Summary:
Symmetry = C2/m
Calculated total energy = -8.44 eV per formula unit

a = 7.656 Å, b = 7.656 Å, c = 13.116 Å
α = 115.58°, β = 115.58°, γ = 35.85°
Fractional positions:
1 Hg 0.058 0.058 0.390
2 Hg 0.356 0.356 0.156
3 Hg 0.644 0.644 0.844
4 Hg 0.942 0.942 0.610
5 Te 0.437 0.437 0.726
6 Te 0.563 0.563 0.274
7 I 0.148 0.148 0.050
8 I 0.852 0.852 0.950
9 Br 0.151 0.151 0.622
10 Br 0.849 0.849 0.378



[3]
KWSe2: relaxed, PBE.

Summary:
Symmetry = P4mm
Calculated total energy = -20.97 eV per formula unit

a = 3.428 Å, b = 3.428 Å, c = 8.587 Å
α = 90.00°, β = 90.00°, γ = 90.00°
Fractional positions:
1 K 0.000 0.000 0.000
2 W 0.500 0.500 0.512
3 Se 0.000 0.000 0.631
4 Se 0.500 0.500 0.237



[4]
Sc3HgO: relaxed, PBE.

Summary:
Symmetry = Fd-3m
Calculated total energy = -29.51 eV per formula unit

a = 8.398 Å, b = 8.398 Å, c = 8.398 Å
α = 60.00°, β = 60.00°, γ = 60.00°
Fractional positions:
1 Sc 0.062 0.062 0.688
2 Sc 0.062 0.688 0.062
3 Sc 0.062 0.688 0.688
4 Sc 0.312 0.312 0.938
5 Sc 0.312 0.938 0.312
6 Sc 0.312 0.938 0.938
7 Sc 0.688 0.062 0.062
8 Sc 0.688 0.062 0.688
9 Sc 0.688 0.688 0.062
10 Sc 0.938 0.312 0.312
11 Sc 0.938 0.312 0.938
12 Sc 0.938 0.938 0.312
13 Hg 0.000 0.500 0.500
14 Hg 0.500 0.000 0.500
15 Hg 0.500 0.500 0.000
16 Hg 0.500 0.500 0.500
17 O 0.000 0.000 0.000
18 O 0.000 0.000 0.500
19 O 0.000 0.500 0.000
20 O 0.500 0.000 0.000